[1]
An optimized crystal structure of Ti3VRh12. Source: Alexandria via LeMat-Bulk, functional PBE-GGA.

Results
Raw total energy (eV for the cell shown): -130.07
Formation energy (meV/atom): -566

a = 3.8402 Å, b = 3.8402 Å, c = 15.3973 Å
α = 90.00°, β = 90.00°, γ = 90.00°
Element x y z (fractional)
Rh 0.0000 0.5000 0.3741
Rh 0.5000 0.5000 0.7517
Ti 0.0000 0.0000 0.5000
Ti 0.0000 0.0000 0.7500
V 0.0000 0.0000 0.0000
Rh 0.5000 0.0000 0.8785
Rh 0.5000 0.5000 0.0000
Rh 0.5000 0.0000 0.6259
Rh 0.5000 0.0000 0.1215
Ti 0.0000 0.0000 0.2500
Rh 0.5000 0.5000 0.5000
Rh 0.0000 0.5000 0.6259
Rh 0.5000 0.5000 0.2483
Rh 0.5000 0.0000 0.3741
Rh 0.0000 0.5000 0.8785
Rh 0.0000 0.5000 0.1215



[2]
An optimized crystal structure of YHoPuTh. Source: Alexandria via LeMat-Bulk, functional PBE-GGA.

Results
Raw total energy (eV for the cell shown): -31.95
Formation energy (meV/atom): 211

a = 5.5763 Å, b = 5.5763 Å, c = 5.5763 Å
α = 60.00°, β = 60.00°, γ = 60.00°
Last column: magnetic moment on the atom in μB.
Element x y z (fractional)
Ho 0.5000 0.5000 0.5000  0.39
Th 0.0000 0.0000 0.0000  0.55
Y 0.2500 0.2500 0.2500  0.27
Pu 0.7500 0.7500 0.7500  5.67



[3]
An optimized crystal structure of Cs2Rb4SnAs2. Source: Alexandria via LeMat-Bulk, functional PBE-GGA.

Results
Raw total energy (eV for the cell shown): -20.17
Formation energy (meV/atom): -144

a = 5.7187 Å, b = 9.4165 Å, c = 9.4165 Å
α = 60.39°, β = 72.31°, γ = 72.31°
Last column: magnetic moment on the atom in μB.
Element x y z (fractional)
Rb 0.8654 0.3350 0.9343  0.01
Rb 0.8654 0.9343 0.3350  0.01
Sn 0.5000 0.0000 0.0000  0.32
Cs 0.6423 0.3575 0.3575  0.01
Cs 0.3577 0.6425 0.6425  0.01
As 0.2977 0.2023 0.2023  0.15
As 0.7023 0.7977 0.7977  0.15
Rb 0.1346 0.0657 0.6650  0.01
Rb 0.1346 0.6650 0.0657  0.01



[4]
An optimized crystal structure of YSc2Zn2. Source: Alexandria via LeMat-Bulk, functional PBE-GGA.

Results
Raw total energy (eV for the cell shown): -21.51
Relative energy among the computed polymorphs (eV/atom): 0.3121
Formation energy (meV/atom): 34

a = 4.3570 Å, b = 4.3570 Å, c = 6.8946 Å
α = 71.58°, β = 71.58°, γ = 90.00°
Last column: magnetic moment on the atom in μB.
Element x y z (fractional)
Zn 0.2500 0.7500 0.5000  -0.01
Sc 0.6199 0.6199 0.7602  0.12
Sc 0.3801 0.3801 0.2398  0.12
Y 0.0000 0.0000 0.0000  0.10
Zn 0.7500 0.2500 0.5000  -0.01



[5]
An optimized crystal structure of NaLa2IrO5. Source: Alexandria via LeMat-Bulk, functional PBE-GGA.

Results
Raw total energy (eV for the cell shown): -130.09

a = 5.8280 Å, b = 6.9917 Å, c = 6.9917 Å
α = 90.00°, β = 90.00°, γ = 90.00°
Last column: magnetic moment on the atom in μB.
Element x y z (fractional)
O 0.7527 0.6333 0.8667  0.13
O 0.7527 0.3667 0.1333  0.13
O 0.7527 0.8667 0.3667  0.13
Ir 0.0000 0.5000 0.0000  1.22
La 0.5000 0.8192 0.6808  0.01
O 0.7527 0.1333 0.6333  0.13
Na 0.0000 0.5000 0.5000  0.00
La 0.5000 0.6808 0.1808  0.01
Ir 0.0000 0.0000 0.5000  1.22
O 0.2473 0.6333 0.8667  0.13
O 0.5000 0.0000 0.0000  0.05
O 0.2473 0.1333 0.6333  0.13
O 0.2473 0.3667 0.1333  0.13
O 0.5000 0.5000 0.5000  0.05
La 0.5000 0.1808 0.3192  0.01
La 0.5000 0.3192 0.8192  0.01
Na 0.0000 0.0000 0.0000  0.00
O 0.2473 0.8667 0.3667  0.13



[6]
An optimized crystal structure of Sr3Ac3AlO8. Source: Alexandria via LeMat-Bulk, functional PBE-GGA.

Results
Raw total energy (eV for the cell shown): -101.06

a = 7.2213 Å, b = 7.2208 Å, c = 7.3441 Å
α = 119.45°, β = 90.00°, γ = 120.00°
Element x y z (fractional)
O 0.1984 0.3967 0.6936
O 0.8016 0.6033 0.3064
Al 0.0000 0.0000 0.5000
O 0.8016 0.0047 0.3064
Ac 0.5000 0.5000 0.5000
Ac 0.0000 0.5000 0.5000
O 0.2440 0.4880 0.2321
O 0.1984 0.9953 0.6936
Sr 0.0000 0.5000 0.0000
O 0.2031 0.0047 0.3064
Sr 0.0000 0.0000 0.0000
O 0.7969 0.9953 0.6936
Sr 0.5000 0.5000 0.0000
O 0.7560 0.5120 0.7679
Ac 0.5000 0.0000 0.5000



Number 1: DOS(E_F) 16.87 states/eV per cell. Number 2: DOS(E_F) 11.75 states/eV per cell. Number 3: DOS(E_F) 5.86 states/eV per cell. Number 4: DOS(E_F) 5.26 states/eV per cell. Number 5: DOS(E_F) 10.72 states/eV per cell. Number 6: DOS(E_F) 3.69 states/eV per cell.